SmNiAs2O8 | PBE with a Hubbard U | optimized geometry

Structure (CIF):
```
data_SmNiAs2O8
_chemical_formula_sum 'Sm2 Ni2 As4 O16'
_cell_length_a 7.1249
_cell_length_b 7.1249
_cell_length_c 6.2152
_cell_angle_alpha 90.00
_cell_angle_beta 90.00
_cell_angle_gamma 90.00
_symmetry_space_group_name_H-M 'I -4 m 2'
_symmetry_Int_Tables_number 119
_symmetry_space_group_name_Hall 'I -4 -2'
loop_
_atom_site_label
_atom_site_type_symbol
_atom_site_fract_x
_atom_site_fract_y
_atom_site_fract_z
Sm1 Sm 0.0000 0.0000 0.0000
Ni1 Ni 0.0000 0.5000 0.7500
As1 As 0.0000 0.0000 0.5000
As2 As 0.0000 0.5000 0.2500
O1 O 0.0000 0.1869 0.6774
O2 O 0.0000 0.3260 0.0587
```

Values from the calculation:
Magnetic moment = 6.06 μB/cell
Final energy = -0.225 hartree per atom
ρ = 5.13 Mg/m³